Below is an optimized crystal structure of Mn3SiNi2, with properties calculated at the PBEsol level.

Cell lengths 7.4139, 7.4139, 7.4139 Å; angles 60.00, 60.00, 60.00 degrees
Last column: nearest neighbours and their distance in Å.
Fractional positions:
Mn 0.0655 0.0655 0.6845  4 Ni 2.44-2.67, 2 Si 2.68
Mn 0.0655 0.6845 0.0655  4 Ni 2.44-2.67, 2 Si 2.68
Mn 0.0655 0.6845 0.6845  4 Ni 2.44-2.67, 2 Si 2.68
Mn 0.3155 0.3155 0.9345  4 Ni 2.44-2.67, 2 Si 2.68
Mn 0.3155 0.9345 0.3155  4 Ni 2.44-2.67, 2 Si 2.68
Mn 0.3155 0.9345 0.9345  4 Ni 2.44-2.67, 2 Si 2.68
Mn 0.6845 0.0655 0.0655  4 Ni 2.44-2.67, 2 Si 2.68
Mn 0.6845 0.0655 0.6845  4 Ni 2.44-2.67, 2 Si 2.68
Mn 0.6845 0.6845 0.0655  4 Ni 2.44-2.67, 2 Si 2.68
Mn 0.9345 0.3155 0.3155  4 Ni 2.44-2.67, 2 Si 2.68
Mn 0.9345 0.3155 0.9345  4 Ni 2.44-2.67, 2 Si 2.68
Mn 0.9345 0.9345 0.3155  4 Ni 2.44-2.67, 2 Si 2.68
Si 0.0000 0.5000 0.5000  6 Ni 2.29
Si 0.5000 0.0000 0.5000  6 Ni 2.29
Si 0.5000 0.5000 0.0000  6 Ni 2.29
Si 0.5000 0.5000 0.5000  6 Ni 2.29
Ni 0.2884 0.2884 0.2884  3 Si 2.29, 3 Mn 2.44
Ni 0.2884 0.2884 0.6349  3 Si 2.29, 3 Mn 2.44
Ni 0.2884 0.6349 0.2884  3 Si 2.29, 3 Mn 2.44
Ni 0.3651 0.7116 0.7116  3 Si 2.29, 3 Mn 2.44
Ni 0.6349 0.2884 0.2884  3 Si 2.29, 3 Mn 2.44
Ni 0.7116 0.3651 0.7116  3 Si 2.29, 3 Mn 2.44
Ni 0.7116 0.7116 0.3651  3 Si 2.29, 3 Mn 2.44
Ni 0.7116 0.7116 0.7116  3 Si 2.29, 3 Mn 2.44

Summary:
- E_form (uncorrected) (kJ/mol of formula units) = -67
- electronic total energy (eV/atom) = -8.007
- volume (Å³ per cell) = 288
- DOS at the Fermi energy (states/eV/cell) = 17.506